First-principles (PBE) data for TbPr3Se4 after structural relaxation, as listed in Alexandria.

Computed properties:
Raw formation energy: -1822 meV per atom
Spin magnetization: 0.0000 μB per atom
Energy relative to the lowest polymorph listed for this composition: 0.004 eV/atom
N(E_F): 4.792 states/eV/f.u.

a = 8.5647 Å, b = 11.9561 Å, c = 4.1660 Å
α = 90.00°, β = 90.00°, γ = 90.00°
Closest atoms and distances in Å follow each position.
Space group Cmmm (No. 65)
Symmetry-distinct sites (fractional):
Tb  0.0000  0.0000  0.0000 (multiplicity 2)  6 Se 2.92
Pr  0.0000  0.5000  0.0000 (multiplicity 2)  6 Se 3.05
Pr  0.2500  0.2500  0.5000 (multiplicity 4)  6 Se 2.99
Se  0.0000  0.2445  0.0000 (multiplicity 4)  1 Tb 2.92, 5 Pr 2.99-3.05
Se  0.2392  0.0000  0.5000 (multiplicity 4)  2 Tb 2.92, 4 Pr 2.99-3.05